1.
## LaPm3Pu2Se6 (GGA-PBE)

Data for LaPm3Pu2Se6 after structural relaxation.

Lattice parameters (Å, degrees): 7.2653 7.2653 7.2962 99.56 99.56 120.01
Last column: nearest neighbours and their distance in Å.
Sites, in units of the cell vectors:
La1 0.0000 0.0000 0.0000  6 Se 3.01
Pm1 0.1641 0.8359 0.5000  6 Se 2.95-2.99
Pm2 0.5000 0.5000 0.5000  6 Se 2.94-2.99
Pm3 0.8359 0.1641 0.5000  6 Se 2.95-2.99
Pu1 0.3328 0.6672 0.0000  6 Se 2.94-2.95
Pu2 0.6672 0.3328 0.0000  6 Se 2.94-2.95
Se1 0.0837 0.4242 0.2502  2 Pu 2.95, 3 Pm 2.95-2.99, 1 La 3.01
Se2 0.2584 0.2584 0.7524  3 Pm 2.94-2.98, 2 Pu 2.94, 1 La 3.01
Se3 0.4242 0.0837 0.2502  2 Pu 2.95, 3 Pm 2.95-2.99, 1 La 3.01
Se4 0.5758 0.9163 0.7498  2 Pu 2.95, 3 Pm 2.95-2.99, 1 La 3.01
Se5 0.7416 0.7416 0.2476  3 Pm 2.94-2.98, 2 Pu 2.94, 1 La 3.01
Se6 0.9163 0.5758 0.7498  2 Pu 2.95, 3 Pm 2.95-2.99, 1 La 3.01

Calculated values
**Uncorrected formation energy**: -1.77 eV/atom

=====

2.
## LaPm4Pu3Se8 (GGA-PBE)

Data for LaPm4Pu3Se8 after structural relaxation.

Lattice parameters (Å, degrees): 8.4037 8.4037 8.4037 59.72 59.72 59.72
Last column: nearest neighbours and their distance in Å.
Sites, in units of the cell vectors:
La1 0.0000 0.0000 0.0000  6 Se 2.99
Pm1 0.0000 0.0000 0.5000  6 Se 2.98-2.99
Pm2 0.0000 0.5000 0.0000  6 Se 2.98-2.99
Pm3 0.5000 0.0000 0.0000  6 Se 2.98-2.99
Pm4 0.5000 0.5000 0.5000  6 Se 2.94
Pu1 0.0000 0.5000 0.5000  6 Se 2.94-2.95
Pu2 0.5000 0.0000 0.5000  6 Se 2.94-2.95
Pu3 0.5000 0.5000 0.0000  6 Se 2.94-2.95
Se1 0.2518 0.2518 0.2518  3 Pu 2.94, 3 Pm 2.99
Se2 0.2525 0.2525 0.7444  3 Pm 2.94-2.98, 2 Pu 2.95, 1 La 2.99
Se3 0.2525 0.7444 0.2525  3 Pm 2.94-2.98, 2 Pu 2.95, 1 La 2.99
Se4 0.2556 0.7475 0.7475  3 Pm 2.94-2.98, 2 Pu 2.95, 1 La 2.99
Se5 0.7444 0.2525 0.2525  3 Pm 2.94-2.98, 2 Pu 2.95, 1 La 2.99
Se6 0.7475 0.2556 0.7475  3 Pm 2.94-2.98, 2 Pu 2.95, 1 La 2.99
Se7 0.7475 0.7475 0.2556  3 Pm 2.94-2.98, 2 Pu 2.95, 1 La 2.99
Se8 0.7482 0.7482 0.7482  3 Pu 2.94, 3 Pm 2.99

Calculated values
**Uncorrected formation energy**: -1.76 eV/atom

=====

3.
## La2Pm3PuSe6 (GGA-PBE)

Data for La2Pm3PuSe6 after structural relaxation.

Lattice parameters (Å, degrees): 9.4555 9.4555 8.4843 102.99 102.99 25.75
Last column: nearest neighbours and their distance in Å.
Sites, in units of the cell vectors:
La1 0.1649 0.1649 0.3313  6 Se 3.01-3.04
La2 0.8351 0.8351 0.6687  6 Se 3.01-3.04
Pm1 0.1677 0.1677 0.8359  6 Se 2.95-3.00
Pm2 0.5000 0.5000 0.5000  6 Se 2.97-3.01
Pm3 0.8323 0.8323 0.1641  6 Se 2.95-3.00
Pu1 0.5000 0.5000 0.0000  6 Se 2.96-2.97
Se1 0.0029 0.0029 0.7545  3 Pm 2.96-3.01, 2 Pu 2.97, 1 La 3.01
Se2 0.3345 0.3345 0.4117  3 Pm 2.97, 3 La 3.03-3.04
Se3 0.3349 0.3349 0.9220  3 Pm 2.95-3.00, 1 Pu 2.96, 2 La 3.01
Se4 0.6651 0.6651 0.0780  3 Pm 2.95-3.00, 1 Pu 2.96, 2 La 3.01
Se5 0.6655 0.6655 0.5883  3 Pm 2.97, 3 La 3.03-3.04
Se6 0.9971 0.9971 0.2455  3 Pm 2.96-3.01, 2 Pu 2.97, 1 La 3.01

Calculated values
**Uncorrected formation energy**: -1.85 eV/atom

=====

> uncorrected formation energy of number 3 (La2Pm3PuSe6)?

-1.85 eV/atom